VASP calculation (PBE) on a relaxed LaTaSn2Sb crystal.

The structure in POSCAR format:
```
LaTaSn2Sb
1.0
5.9018 0.0000 0.0000
0.0000 5.1360 0.0000
0.0000 0.0000 5.9018
Sn La Sb Ta
2 1 1 1
direct
0.0000 0.0000 0.5000 Sn
0.5000 0.0000 0.0000 Sn
0.0000 0.0000 0.0000 La
0.5000 0.5000 0.5000 Sb
0.0000 0.5000 0.0000 Ta
```

The calculation puts the raw formation energy at 141.5 kJ/mol of atoms. The space group is P4/mmm (123).


VASP calculation (PBE) on a relaxed Tm5Al crystal.

The structure in POSCAR format:
```
Tm5Al
1.0
4.7530 0.0000 0.0000
0.0000 4.7429 0.0000
0.0000 -2.3715 7.2939
Tm Al
5 1
direct
0.5000 0.1660 0.3319 Tm
0.5000 0.5000 0.0000 Tm
0.0000 0.6600 0.3200 Tm
0.0000 0.3400 0.6800 Tm
0.5000 0.8340 0.6681 Tm
0.0000 0.0000 0.0000 Al
```

The space group is Cmmm (65). The formation enthalpy at 0 K is -61 kJ/mol of formula units.


VASP calculation (PBE) on a relaxed NbMoHOs2 crystal.

The structure in POSCAR format:
```
NbMoHOs2
1.0
3.9761 0.0000 0.0000
0.0000 3.9761 0.0000
0.0000 0.0000 4.0735
Os H Nb Mo
2 1 1 1
direct
0.5000 0.0000 0.0000 Os
0.0000 0.5000 0.0000 Os
0.0000 0.0000 0.0000 H
0.0000 0.0000 0.5000 Nb
0.5000 0.5000 0.5000 Mo
```

Its energy is -9.30 eV per atom. The space group is P4/mmm (123).


Copy entry 3 word for word.
VASP calculation (PBE) on a relaxed NbMoHOs2 crystal.

The structure in POSCAR format:
```
NbMoHOs2
1.0
3.9761 0.0000 0.0000
0.0000 3.9761 0.0000
0.0000 0.0000 4.0735
Os H Nb Mo
2 1 1 1
direct
0.5000 0.0000 0.0000 Os
0.0000 0.5000 0.0000 Os
0.0000 0.0000 0.0000 H
0.0000 0.0000 0.5000 Nb
0.5000 0.5000 0.5000 Mo
```

Its energy is -9.30 eV per atom. The space group is P4/mmm (123).


Copy entry 3 word for word.
VASP calculation (PBE) on a relaxed NbMoHOs2 crystal.

The structure in POSCAR format:
```
NbMoHOs2
1.0
3.9761 0.0000 0.0000
0.0000 3.9761 0.0000
0.0000 0.0000 4.0735
Os H Nb Mo
2 1 1 1
direct
0.5000 0.0000 0.0000 Os
0.0000 0.5000 0.0000 Os
0.0000 0.0000 0.0000 H
0.0000 0.0000 0.5000 Nb
0.5000 0.5000 0.5000 Mo
```

Its energy is -9.30 eV per atom. The space group is P4/mmm (123).